# 1
Material: RbZrMo2O8
Method: DFT, PBE with a Hubbard U
State: relaxed

DOS at the Fermi energy: 0.31 states/eV per atom
SG: No. 148
final energy: -7.297 eV per atom

Lattice parameters (Å, degrees): 9.175 9.175 9.175 36.46 36.46 36.46
Sites, in units of the cell vectors:
Rb 0.000 0.000 0.000
Zr 0.500 0.500 0.500
Mo 0.238 0.238 0.238
Mo 0.762 0.762 0.762
O 0.120 0.531 0.706
O 0.294 0.880 0.469
O 0.307 0.307 0.307
O 0.469 0.294 0.880
O 0.531 0.706 0.120
O 0.693 0.693 0.693
O 0.706 0.120 0.531
O 0.880 0.469 0.294


# 2
Material: Be2VO4
Method: DFT, PBE with a Hubbard U
State: relaxed

SG: No. 121
final energy: -6.675 eV per atom

Lattice parameters (Å, degrees): 4.678 4.678 6.593 90.00 90.00 90.00
Sites, in units of the cell vectors:
Be 0.000 0.500 0.000
Be 0.000 0.500 0.500
Be 0.500 0.000 0.000
Be 0.500 0.000 0.500
V 0.000 0.000 0.000
V 0.500 0.500 0.500
O 0.248 0.248 0.603
O 0.248 0.752 0.397
O 0.252 0.252 0.103
O 0.252 0.748 0.897
O 0.748 0.252 0.897
O 0.748 0.748 0.103
O 0.752 0.248 0.397
O 0.752 0.752 0.603